(1)
A plane-wave DFT calculation with PBE was carried out for a relaxed CaSi2Pt3 crystal.

The density of states at the Fermi level is 8.295 states/eV/cell. Its total energy is -145.349 eV/cell.

Geometry as CIF:
```
data_CaSi2Pt3
_chemical_formula_sum 'Ca4 Si8 Pt12'
_cell_length_a 14.8053
_cell_length_b 4.0853
_cell_length_c 7.6667
_cell_angle_alpha 90.00
_cell_angle_beta 113.59
_cell_angle_gamma 90.00
_space_group_name_H-M_alt 'C 1 2/m 1'
_space_group_IT_number 12
_space_group_name_Hall '-C 2y'
loop_
_atom_site_label
_atom_site_type_symbol
_atom_site_fract_x
_atom_site_fract_y
_atom_site_fract_z
Ca1 Ca 0.1604 0.0000 0.0795
Si1 Si 0.0154 0.5000 0.1625
Si2 Si 0.1729 0.0000 0.6396
Pt1 Pt 0.0276 0.0000 0.3349
Pt2 Pt 0.1179 0.5000 0.7316
Pt3 Pt 0.1783 0.5000 0.4186
```

---

(2)
A plane-wave DFT calculation with PBE was carried out for a relaxed HfSc2TeIr crystal.

The density of states at the Fermi level is 5.604 states/eV/cell. Its total energy is -31.550 eV/cell.

Geometry as CIF:
```
data_HfSc2TeIr
_chemical_formula_sum 'Hf1 Sc2 Te1 Ir1'
_cell_length_a 5.3245
_cell_length_b 5.3245
_cell_length_c 4.7343
_cell_angle_alpha 90.00
_cell_angle_beta 90.00
_cell_angle_gamma 90.00
_space_group_name_H-M_alt 'P 4/m m m'
_space_group_IT_number 123
_space_group_name_Hall '-P 4 2'
loop_
_atom_site_label
_atom_site_type_symbol
_atom_site_fract_x
_atom_site_fract_y
_atom_site_fract_z
Hf1 Hf 0.0000 0.0000 0.0000
Sc1 Sc 0.0000 0.5000 0.0000
Te1 Te 0.5000 0.5000 0.5000
Ir1 Ir 0.0000 0.0000 0.5000
```

---

(3)
A plane-wave DFT calculation with PBE was carried out for a relaxed ZnAgMo2 crystal.

The density of states at the Fermi level is 4.829 states/eV/cell. Its total energy is -74.188 eV/cell. The value obtained for the formation energy is 25.5 kJ/mol of atoms.

Geometry as CIF:
```
data_ZnAgMo2
_chemical_formula_sum 'Zn3 Ag3 Mo6'
_cell_length_a 2.7866
_cell_length_b 2.7866
_cell_length_c 28.6677
_cell_angle_alpha 90.00
_cell_angle_beta 90.00
_cell_angle_gamma 120.00
_space_group_name_H-M_alt 'R 3 m'
_space_group_IT_number 160
_space_group_name_Hall 'R 3 -2"'
loop_
_atom_site_label
_atom_site_type_symbol
_atom_site_fract_x
_atom_site_fract_y
_atom_site_fract_z
Zn1 Zn 0.0000 0.0000 0.0000
Ag1 Ag 0.0000 0.0000 0.7473
Mo1 Mo 0.0000 0.0000 0.2525
Mo2 Mo 0.0000 0.0000 0.5018
```

---

(4)
A plane-wave DFT calculation with PBE was carried out for a relaxed RePbAu2 crystal.

The density of states at the Fermi level is 8.343 states/eV/cell. Its total energy is -39.039 eV/cell. The value obtained for the formation energy is 77.0 kJ/mol of atoms.

Geometry as CIF:
```
data_RePbAu2
_chemical_formula_sum 'Re2 Pb2 Au4'
_cell_length_a 4.3486
_cell_length_b 4.3486
_cell_length_c 8.0236
_cell_angle_alpha 90.00
_cell_angle_beta 90.00
_cell_angle_gamma 90.00
_space_group_name_H-M_alt 'I -4 m 2'
_space_group_IT_number 119
_space_group_name_Hall 'I -4 -2'
loop_
_atom_site_label
_atom_site_type_symbol
_atom_site_fract_x
_atom_site_fract_y
_atom_site_fract_z
Re1 Re 0.0000 0.0000 0.0000
Pb1 Pb 0.0000 0.5000 0.2500
Au1 Au 0.0000 0.0000 0.5000
Au2 Au 0.0000 0.5000 0.7500
```

---

(5)
A plane-wave DFT calculation with PBE was carried out for a relaxed Na2PaHgS4 crystal.

The density of states at the Fermi level is 4.814 states/eV/cell. Its total energy is -37.597 eV/cell.

Geometry as CIF:
```
data_Na2PaHgS4
_chemical_formula_sum 'Na2 Pa1 Hg1 S4'
_cell_length_a 7.0592
_cell_length_b 4.0072
_cell_length_c 7.1534
_cell_angle_alpha 90.00
_cell_angle_beta 110.76
_cell_angle_gamma 90.00
_space_group_name_H-M_alt 'P 1 2/m 1'
_space_group_IT_number 10
_space_group_name_Hall '-P 2y'
loop_
_atom_site_label
_atom_site_type_symbol
_atom_site_fract_x
_atom_site_fract_y
_atom_site_fract_z
Na1 Na 0.0000 0.0000 0.0000
Na2 Na 0.0000 0.5000 0.5000
Pa1 Pa 0.5000 0.0000 0.5000
Hg1 Hg 0.5000 0.5000 0.0000
S1 S 0.2616 0.5000 0.2777
S2 S 0.2818 0.0000 0.7377
```

---

(6)
A plane-wave DFT calculation with PBE was carried out for a relaxed Sn2H2Cl3 crystal.

The density of states at the Fermi level is 0.850 states/eV/cell. Its total energy is -23.870 eV/cell.

Geometry as CIF:
```
data_Sn2H2Cl3
_chemical_formula_sum 'Sn2 H2 Cl3'
_cell_length_a 4.9001
_cell_length_b 6.3804
_cell_length_c 6.4260
_cell_angle_alpha 95.88
_cell_angle_beta 95.59
_cell_angle_gamma 111.74
_space_group_name_H-M_alt 'P -1'
_space_group_IT_number 2
_space_group_name_Hall '-P 1'
loop_
_atom_site_label
_atom_site_type_symbol
_atom_site_fract_x
_atom_site_fract_y
_atom_site_fract_z
Sn1 Sn 0.1469 0.2561 0.1362
H1 H 0.4803 0.9610 0.4480
Cl1 Cl 0.1777 0.4077 0.7799
Cl2 Cl 0.5000 0.0000 0.0000
```

---

(7)
A plane-wave DFT calculation with PBE was carried out for a relaxed Cs2NpTl3S6 crystal.

Its total energy is -112.574 eV/cell.

Geometry as CIF:
```
data_Cs2NpTl3S6
_chemical_formula_sum 'Cs4 Np2 Tl6 S12'
_cell_length_a 8.0942
_cell_length_b 14.8439
_cell_length_c 7.3901
_cell_angle_alpha 90.00
_cell_angle_beta 111.85
_cell_angle_gamma 90.00
_space_group_name_H-M_alt 'C 1 2/m 1'
_space_group_IT_number 12
_space_group_name_Hall '-C 2y'
loop_
_atom_site_label
_atom_site_type_symbol
_atom_site_fract_x
_atom_site_fract_y
_atom_site_fract_z
Cs1 Cs 0.0000 0.1746 0.0000
Np1 Np 0.0000 0.5000 0.0000
Tl1 Tl 0.0000 0.0000 0.5000
Tl2 Tl 0.0000 0.3634 0.5000
S1 S 0.1891 0.5000 0.7868
S2 S 0.1967 0.3823 0.2139
```

---

(8)
A plane-wave DFT calculation with PBE was carried out for a relaxed CaSnMo3 crystal.

The density of states at the Fermi level is 9.354 states/eV/cell. Its total energy is -26.555 eV/cell. The value obtained for the formation energy is 230.5 kJ/mol of atoms.

Geometry as CIF:
```
data_CaSnMo3
_chemical_formula_sum 'Ca1 Sn1 Mo3'
_cell_length_a 4.6878
_cell_length_b 4.6878
_cell_length_c 4.6878
_cell_angle_alpha 90.00
_cell_angle_beta 90.00
_cell_angle_gamma 90.00
_space_group_name_H-M_alt 'P m -3 m'
_space_group_IT_number 221
_space_group_name_Hall '-P 4 2 3'
loop_
_atom_site_label
_atom_site_type_symbol
_atom_site_fract_x
_atom_site_fract_y
_atom_site_fract_z
Ca1 Ca 0.0000 0.0000 0.0000
Sn1 Sn 0.5000 0.5000 0.5000
Mo1 Mo 0.0000 0.0000 0.5000
```